<P>
Crystalline LiTaPb3 at its relaxed geometry, computed with PBE.

a = 5.024 Å, b = 5.024 Å, c = 5.024 Å
α = 90.00°, β = 90.00°, γ = 90.00°
Space group Pm-3m (No. 221)
Unique sites:
1 Li 0.000 0.000 0.000 x1
2 Ta 0.500 0.500 0.500 x1
3 Pb 0.000 0.000 0.500 x3

Results
- spin magnetization (μB/atom) = 0.0002



<Q>
Crystalline LiTaPb3 at its relaxed geometry, computed with PBE.

a = 5.534 Å, b = 5.534 Å, c = 5.534 Å
α = 90.00°, β = 90.00°, γ = 90.00°
Space group Pm-3m (No. 221)
Unique sites:
1 Li 0.000 0.000 0.000 x1
2 Ta 0.500 0.500 0.500 x1
3 Pb 0.000 0.500 0.500 x3

Results
- spin magnetization (μB/atom) = 0.0000



Energy relative to the most stable one, in meV/atom: <P> 561; <Q> 0



<P>
Crystalline LiTbTlPb at its relaxed geometry, computed with PBE.

a = 4.428 Å, b = 4.698 Å, c = 4.840 Å
α = 90.00°, β = 90.00°, γ = 90.00°
Space group Pmmm (No. 47)
Unique sites:
1 Li 0.000 0.000 0.000 x1
2 Tb 0.000 0.500 0.500 x1
3 Tl 0.500 0.500 0.000 x1
4 Pb 0.500 0.000 0.500 x1

Results
- spin magnetization (μB/atom) = 0.0000



<Q>
Crystalline LiTbTlPb at its relaxed geometry, computed with PBE.

a = 7.443 Å, b = 7.443 Å, c = 7.443 Å
α = 90.00°, β = 90.00°, γ = 90.00°
Space group F-43m (No. 216)
Unique sites:
1 Li 0.000 0.000 0.000 x4
2 Tb 0.000 0.000 0.500 x4
3 Tl 0.250 0.250 0.750 x4
4 Pb 0.250 0.250 0.250 x4

Results
- spin magnetization (μB/atom) = 0.0000



Energy relative to the most stable one, in meV/atom: <P> 0; <Q> 41



<P>
Crystalline Li2Te2Pb at its relaxed geometry, computed with PBE.

a = 8.072 Å, b = 8.072 Å, c = 3.798 Å
α = 90.00°, β = 90.00°, γ = 90.00°
Space group P4/mbm (No. 127)
Unique sites:
1 Li 0.122 0.378 0.000 x4
2 Te 0.182 0.682 0.500 x4
3 Pb 0.000 0.000 0.000 x2

Results
- spin magnetization (μB/atom) = 0.0000



<Q>
Crystalline Li2Te2Pb at its relaxed geometry, computed with PBE.

a = 8.709 Å, b = 8.709 Å, c = 3.450 Å
α = 90.00°, β = 90.00°, γ = 90.00°
Space group P4/mbm (No. 127)
Unique sites:
1 Li 0.130 0.370 0.000 x4
2 Te 0.166 0.666 0.500 x4
3 Pb 0.000 0.000 0.500 x2

Results
- spin magnetization (μB/atom) = 0.0000



<R>
Crystalline Li2Te2Pb at its relaxed geometry, computed with PBE.

a = 4.778 Å, b = 4.778 Å, c = 11.902 Å
α = 90.00°, β = 90.00°, γ = 90.00°
Space group I4/mmm (No. 139)
Unique sites:
1 Li 0.000 0.000 0.122 x4
2 Te 0.000 0.500 0.250 x4
3 Pb 0.000 0.000 0.500 x2

Results
- spin magnetization (μB/atom) = 0.0000



Energy relative to the most stable one, in meV/atom: <P> 51; <Q> 0; <R> 376



<P>
Crystalline Li2TePb2 at its relaxed geometry, computed with PBE.

a = 8.419 Å, b = 8.419 Å, c = 3.663 Å
α = 90.00°, β = 90.00°, γ = 90.00°
Space group P4/mbm (No. 127)
Unique sites:
1 Li 0.168 0.332 0.000 x4
2 Te 0.000 0.000 0.500 x2
3 Pb 0.135 0.635 0.500 x4

Results
- spin magnetization (μB/atom) = 0.0000



<Q>
Crystalline Li2TePb2 at its relaxed geometry, computed with PBE.

a = 4.416 Å, b = 4.416 Å, c = 13.686 Å
α = 90.00°, β = 90.00°, γ = 90.00°
Space group I4/mmm (No. 139)
Unique sites:
1 Li 0.000 0.000 0.092 x4
2 Te 0.000 0.000 0.500 x2
3 Pb 0.000 0.500 0.250 x4

Results
- spin magnetization (μB/atom) = 0.0000



<R>
Crystalline Li2TePb2 at its relaxed geometry, computed with PBE.

a = 7.185 Å, b = 7.185 Å, c = 4.922 Å
α = 90.00°, β = 90.00°, γ = 90.00°
Space group P4/mbm (No. 127)
Unique sites:
1 Li 0.145 0.355 0.000 x4
2 Te 0.000 0.000 0.000 x2
3 Pb 0.157 0.657 0.500 x4

Results
- spin magnetization (μB/atom) = 0.0000



Energy relative to the most stable one, in meV/atom: <P> 128; <Q> 148; <R> 0



<P>
Crystalline LiThTlPb at its relaxed geometry, computed with PBE.

a = 7.577 Å, b = 7.577 Å, c = 7.577 Å
α = 90.00°, β = 90.00°, γ = 90.00°
Space group F-43m (No. 216)
Unique sites:
1 Li 0.000 0.000 0.000 x4
2 Th 0.000 0.000 0.500 x4
3 Tl 0.250 0.250 0.250 x4
4 Pb 0.250 0.250 0.750 x4

Results
- spin magnetization (μB/atom) = 0.0000



<Q>
Crystalline LiThTlPb at its relaxed geometry, computed with PBE.

a = 4.551 Å, b = 4.813 Å, c = 4.916 Å
α = 90.00°, β = 90.00°, γ = 90.00°
Space group Pmmm (No. 47)
Unique sites:
1 Li 0.000 0.000 0.000 x1
2 Th 0.000 0.500 0.500 x1
3 Tl 0.500 0.500 0.000 x1
4 Pb 0.500 0.000 0.500 x1

Results
- spin magnetization (μB/atom) = 0.0000



Energy relative to the most stable one, in meV/atom: <P> 74; <Q> 0



<P>
Crystalline LiTiPb3 at its relaxed geometry, computed with PBE.

a = 5.064 Å, b = 5.064 Å, c = 5.064 Å
α = 90.00°, β = 90.00°, γ = 90.00°
Space group Pm-3m (No. 221)
Unique sites:
1 Li 0.000 0.000 0.000 x1
2 Ti 0.500 0.500 0.500 x1
3 Pb 0.000 0.000 0.500 x3

Results
- spin magnetization (μB/atom) = 0.0026



<Q>
Crystalline LiTiPb3 at its relaxed geometry, computed with PBE.

a = 5.430 Å, b = 5.430 Å, c = 5.430 Å
α = 90.00°, β = 90.00°, γ = 90.00°
Space group Pm-3m (No. 221)
Unique sites:
1 Li 0.000 0.000 0.000 x1
2 Ti 0.500 0.500 0.500 x1
3 Pb 0.000 0.500 0.500 x3

Results
- spin magnetization (μB/atom) = 0.0000



Energy relative to the most stable one, in meV/atom: <P> 390; <Q> 0



<P>
Crystalline LiTl2Pb at its relaxed geometry, computed with PBE.

a = 4.765 Å, b = 4.765 Å, c = 9.581 Å
α = 90.00°, β = 90.00°, γ = 90.00°
Space group I4/mmm (No. 139)
Unique sites:
1 Li 0.000 0.000 0.000 x2
2 Tl 0.000 0.500 0.250 x4
3 Pb 0.000 0.000 0.500 x2

Results
- spin magnetization (μB/atom) = 0.0000



<Q>
Crystalline LiTl2Pb at its relaxed geometry, computed with PBE.

a = 7.636 Å, b = 7.636 Å, c = 7.636 Å
α = 90.00°, β = 90.00°, γ = 90.00°
Space group F-43m (No. 216)
Unique sites:
1 Li 0.000 0.000 0.000 x4
2 Tl 0.000 0.000 0.500 x4
3 Tl 0.250 0.250 0.750 x4
4 Pb 0.250 0.250 0.250 x4

Results
- spin magnetization (μB/atom) = 0.0000



<R>
Crystalline LiTl2Pb at its relaxed geometry, computed with PBE.

a = 4.868 Å, b = 4.885 Å, c = 8.928 Å
α = 90.00°, β = 90.00°, γ = 90.00°
Space group Cmmm (No. 65)
Unique sites:
1 Li 0.000 0.000 0.000 x2
2 Tl 0.000 0.500 0.216 x4
3 Pb 0.000 0.000 0.500 x2

Results
- spin magnetization (μB/atom) = 0.0000



<S>
Crystalline LiTl2Pb at its relaxed geometry, computed with PBE.

a = 3.5678 Å, b = 3.5678 Å, c = 29.7253 Å
α = 90.00°, β = 90.00°, γ = 120.00°
Space group R3m (No. 160, hexagonal axes)
Unique sites:
1 Li 0.0000 0.0000 0.0000 x3
2 Tl 0.0000 0.0000 0.4957 x3
3 Tl 0.0000 0.0000 0.7375 x3
4 Pb 0.0000 0.0000 0.2561 x3

Results
- spin magnetization (μB/atom) = 0.0000



Energy relative to the most stable one, in meV/atom: <P> 7; <Q> 46; <R> 0; <S> 40



<P>
Crystalline LiTl2Pb at its relaxed geometry, computed with PBE.

a = 11.789 Å, b = 3.590 Å, c = 5.716 Å
α = 90.00°, β = 116.53°, γ = 90.00°
Space group Cm (No. 8)
Unique sites:
1 Li 0.000 0.000 0.000 x2
2 Tl 0.220 0.500 0.351 x2
3 Tl 0.493 0.000 0.541 x2
4 Pb 0.268 0.000 0.899 x2

Results
- spin magnetization (μB/atom) = 0.0000



<Q>
Crystalline LiTl2Pb at its relaxed geometry, computed with PBE.

a = 3.5891 Å, b = 3.5891 Å, c = 29.2925 Å
α = 90.00°, β = 90.00°, γ = 120.00°
Space group R3m (No. 160, hexagonal axes)
Unique sites:
1 Li 0.0000 0.0000 0.0000 x3
2 Tl 0.0000 0.0000 0.4087 x3
3 Tl 0.0000 0.0000 0.5933 x3
4 Pb 0.0000 0.0000 0.8353 x3

Results
- spin magnetization (μB/atom) = 0.0000



<R>
Crystalline LiTl2Pb at its relaxed geometry, computed with PBE.

a = 5.081 Å, b = 5.081 Å, c = 8.251 Å
α = 90.00°, β = 90.00°, γ = 90.00°
Space group P4/nmm (No. 129, origin choice 2)
Unique sites:
1 Li 0.250 0.750 0.000 x2
2 Tl 0.250 0.250 0.199 x2
3 Tl 0.250 0.750 0.500 x2
4 Pb 0.250 0.250 0.781 x2

Results
- spin magnetization (μB/atom) = 0.0000



<S>
Crystalline LiTl2Pb at its relaxed geometry, computed with PBE.

a = 4.753 Å, b = 4.753 Å, c = 9.623 Å
α = 90.00°, β = 90.00°, γ = 90.00°
Space group I-4m2 (No. 119)
Unique sites:
1 Li 0.000 0.000 0.000 x2
2 Tl 0.000 0.000 0.500 x2
3 Tl 0.000 0.500 0.250 x2
4 Pb 0.000 0.500 0.750 x2

Results
- spin magnetization (μB/atom) = 0.0000



Energy relative to the most stable one, in meV/atom: <P> 9; <Q> 35; <R> 0; <S> 16



<P>
Crystalline LiTl2Pb at its relaxed geometry, computed with PBE.

a = 6.573 Å, b = 11.311 Å, c = 3.330 Å
α = 90.00°, β = 115.03°, γ = 90.00°
Space group C2/m (No. 12)
Unique sites:
1 Li 0.000 0.000 0.000 x2
2 Tl 0.250 0.250 0.500 x4
3 Pb 0.000 0.500 0.000 x2

Results
- spin magnetization (μB/atom) = 0.0000



<Q>
Crystalline LiTl2Pb at its relaxed geometry, computed with PBE.

a = 4.861 Å, b = 4.861 Å, c = 17.982 Å
α = 90.00°, β = 90.00°, γ = 90.00°
Space group I4/mmm (No. 139)
Unique sites:
1 Li 0.000 0.500 0.250 x4
2 Tl 0.000 0.000 0.151 x4
3 Tl 0.000 0.500 0.000 x4
4 Pb 0.000 0.000 0.359 x4

Results
- spin magnetization (μB/atom) = 0.0000



<R>
Crystalline LiTl2Pb at its relaxed geometry, computed with PBE.

a = 3.692 Å, b = 5.467 Å, c = 5.491 Å
α = 90.00°, β = 90.00°, γ = 90.00°
Space group Pmmm (No. 47)
Unique sites:
1 Li 0.000 0.000 0.000 x1
2 Tl 0.000 0.500 0.500 x1
3 Tl 0.500 0.000 0.500 x1
4 Pb 0.500 0.500 0.000 x1

Results
- spin magnetization (μB/atom) = 0.0000



<S>
Crystalline LiTl2Pb at its relaxed geometry, computed with PBE.

a = 7.654 Å, b = 7.654 Å, c = 7.654 Å
α = 90.00°, β = 90.00°, γ = 90.00°
Space group Fm-3m (No. 225)
Unique sites:
1 Li 0.000 0.000 0.000 x4
2 Tl 0.250 0.250 0.250 x8
3 Pb 0.000 0.000 0.500 x4

Results
- spin magnetization (μB/atom) = 0.0000



Energy relative to the most stable one, in meV/atom: <P> 29; <Q> 0; <R> 24; <S> 34